(P)
{
  "formula": "KNiRu2",
  "functional": "PBE",
  "state": "optimized geometry",
  "lattice_angstrom": [[-5.450, 2.189, 0.015], [-4.085, -2.390, -3.478], [3.761, -0.025, 4.511]],
  "species": ["Ru", "Ru", "Ni", "K"],
  "frac_coords": [[0.002, 0.002, 0.000], [0.790, 0.290, 0.500], [0.214, 0.714, 0.500], [0.494, 0.494, 0.000]],
  "dos_at_fermi_per_ev_fu": 7.12
}

***

(Q)
{
  "formula": "KNiRu2",
  "functional": "PBE",
  "state": "optimized geometry",
  "lattice_angstrom": [[2.634, 0.000, 0.000], [0.000, 3.614, 0.000], [0.000, 0.000, 7.938]],
  "species": ["Ru", "Ru", "Ni", "K"],
  "frac_coords": [[0.000, 0.000, 0.594], [0.000, 0.000, 0.906], [0.500, 0.500, 0.750], [0.500, 0.500, 0.250]],
  "dos_at_fermi_per_ev_fu": 5.96
}

***

(R)
{
  "formula": "KNiRu2",
  "functional": "PBE",
  "state": "optimized geometry",
  "lattice_angstrom": [[-1.491, -3.623, -3.858], [-0.562, -1.164, 5.344], [-2.321, 0.986, -0.029]],
  "species": ["K", "Ru", "Ru", "Ni"],
  "frac_coords": [[0.500, 0.000, 0.500], [0.000, 0.000, 0.000], [0.500, 0.500, 0.000], [0.000, 0.500, 0.500]],
  "dos_at_fermi_per_ev_fu": 6.86
}

***

(S)
{
  "formula": "KNiRu2",
  "functional": "PBE",
  "state": "optimized geometry",
  "lattice_angstrom": [[5.331, 0.013, 0.000], [2.591, 4.659, 0.000], [-3.961, -2.336, 2.697]],
  "species": ["Ni", "K", "Ru", "Ru"],
  "frac_coords": [[0.750, 0.250, 0.500], [0.250, 0.750, 0.500], [0.000, 0.000, 0.000], [0.500, 0.500, 0.000]],
  "dos_at_fermi_per_ev_fu": 6.54
}

***

Short version: (S) is the least stable of them.

***

(P)
{
  "formula": "KNiRu2",
  "functional": "PBE",
  "state": "optimized geometry",
  "lattice_angstrom": [[5.896, 0.007, -0.003], [3.402, 4.816, 0.003], [-3.994, -3.674, 2.305]],
  "species": ["Ru", "Ru", "Ni", "K"],
  "frac_coords": [[0.038, 0.038, 0.000], [0.462, 0.462, 0.000], [0.250, 0.750, 0.500], [0.750, 0.250, 0.500]],
  "dos_at_fermi_per_ev_fu": 4.48
}

***

(Q)
{
  "formula": "KNiRu2",
  "functional": "PBE",
  "state": "optimized geometry",
  "lattice_angstrom": [[-2.552, 3.993, -0.320], [-2.998, -1.652, 3.293], [2.037, 4.741, 7.659]],
  "species": ["Ni", "Ni", "K", "K", "Ru", "Ru", "Ru", "Ru"],
  "frac_coords": [[0.750, 0.250, 0.500], [0.000, 0.000, 0.000], [0.500, 0.500, 0.000], [0.250, 0.750, 0.500], [0.874, 0.625, 0.250], [0.875, 0.126, 0.750], [0.375, 0.124, 0.750], [0.876, 0.125, 0.250]],
  "dos_at_fermi_per_ev_fu": 5.25
}

***

(R)
{
  "formula": "KNiRu2",
  "functional": "PBE",
  "state": "optimized geometry",
  "lattice_angstrom": [[-2.119, -2.169, -3.684], [-0.253, -3.148, 1.999], [-3.340, 1.083, 1.284]],
  "species": ["Ru", "Ru", "K", "Ni"],
  "frac_coords": [[0.000, 0.500, 0.500], [0.000, 0.000, 0.000], [0.500, 0.500, 0.000], [0.500, 0.000, 0.500]],
  "dos_at_fermi_per_ev_fu": 6.53
}

***

Short version: (R) is the least stable of them.

***

(P)
{
  "formula": "K2NiRu",
  "functional": "PBE",
  "state": "optimized geometry",
  "lattice_angstrom": [[-2.389, 0.371, -1.409], [0.746, -2.007, -1.801], [-4.777, -7.317, 6.174]],
  "species": ["K", "K", "Ni", "Ru"],
  "frac_coords": [[0.000, 0.000, 0.493], [0.000, 0.000, 0.007], [0.500, 0.500, 0.250], [0.500, 0.500, 0.750]],
  "dos_at_fermi_per_ev_fu": 5.10
}

***

(Q)
{
  "formula": "K2NiRu",
  "functional": "PBE",
  "state": "optimized geometry",
  "lattice_angstrom": [[-4.617, 2.900, 0.651], [-1.267, -2.251, 1.039], [1.268, 0.887, 5.037]],
  "species": ["Ni", "K", "K", "Ru"],
  "frac_coords": [[0.500, 0.250, 0.250], [0.000, 0.467, 0.495], [0.000, 0.033, 0.005], [0.500, 0.750, 0.750]],
  "dos_at_fermi_per_ev_fu": 4.33
}

***

(R)
{
  "formula": "K2NiRu",
  "functional": "PBE",
  "state": "optimized geometry",
  "lattice_angstrom": [[-0.736, -0.873, 5.941], [-4.187, -1.102, -4.225], [0.990, -2.707, -0.275]],
  "species": ["K", "K", "Ni", "Ru"],
  "frac_coords": [[0.000, 0.000, 0.000], [0.500, 0.500, 0.000], [0.500, 0.000, 0.500], [0.000, 0.500, 0.500]],
  "dos_at_fermi_per_ev_fu": 4.09
}

***

Short version: (R) is the least stable of them.

***

(P)
{
  "formula": "K2NiRu",
  "functional": "PBE",
  "state": "optimized geometry",
  "lattice_angstrom": [[-1.680, 4.807, 0.123], [-2.307, -0.909, 4.449], [4.975, -0.952, -0.536]],
  "species": ["K", "K", "Ni", "Ru"],
  "frac_coords": [[0.250, 0.750, 0.500], [0.000, 0.000, 0.000], [0.500, 0.500, 0.000], [0.750, 0.250, 0.500]],
  "dos_at_fermi_per_ev_fu": 4.87
}

***

(Q)
{
  "formula": "K2NiRu",
  "functional": "PBE",
  "state": "optimized geometry",
  "lattice_angstrom": [[6.094, 0.226, 0.000], [3.283, 5.139, 0.000], [-4.688, -2.683, 2.831]],
  "species": ["Ni", "K", "K", "Ru"],
  "frac_coords": [[0.750, 0.250, 0.500], [0.000, 0.000, 0.000], [0.500, 0.500, 0.000], [0.250, 0.750, 0.500]],
  "dos_at_fermi_per_ev_fu": 3.86
}

***

Short version: (P) is the least stable of them.

***

(P)
{
  "formula": "K2NiRu",
  "functional": "PBE",
  "state": "optimized geometry",
  "lattice_angstrom": [[0.000, 3.833, 3.833], [3.833, 0.000, 3.833], [3.833, 3.833, 0.000]],
  "species": ["Ru", "K", "K", "Ni"],
  "frac_coords": [[0.500, 0.500, 0.500], [0.250, 0.250, 0.250], [0.750, 0.750, 0.750], [0.000, 0.000, 0.000]],
  "dos_at_fermi_per_ev_fu": 9.84
}

***

(Q)
{
  "formula": "K2NiRu",
  "functional": "PBE",
  "state": "optimized geometry",
  "lattice_angstrom": [[-2.459, 11.400, -3.883], [-11.294, -3.559, -3.295], [-7.639, 4.451, -1.549]],
  "species": ["K", "K", "K", "K", "Ni", "Ni", "Ru", "Ru"],
  "frac_coords": [[0.375, 0.571, 0.750], [0.875, 0.679, 0.750], [0.321, 0.625, 0.250], [0.429, 0.125, 0.250], [0.250, 0.750, 0.500], [0.500, 0.500, 0.000], [0.000, 0.000, 0.000], [0.750, 0.250, 0.500]],
  "dos_at_fermi_per_ev_fu": 5.24
}

***

Short version: (P) is the least stable of them.

***

(P)
{
  "formula": "K2NiRu",
  "functional": "PBE",
  "state": "optimized geometry",
  "lattice_angstrom": [[6.199, -0.076, 0.283], [-3.545, 5.085, 0.283], [0.409, 0.771, 2.655]],
  "species": ["K", "K", "Ru", "Ni"],
  "frac_coords": [[0.000, 0.000, 0.000], [0.500, 0.500, 0.000], [0.000, 0.500, 0.500], [0.500, 0.000, 0.500]],
  "dos_at_fermi_per_ev_fu": 4.56
}

***

(Q)
{
  "formula": "K2NiRu",
  "functional": "PBE",
  "state": "optimized geometry",
  "lattice_angstrom": [[-2.224, 1.577, 5.478], [-1.556, -4.991, 3.180], [4.811, 2.676, -2.672]],
  "species": ["K", "K", "Ni", "Ru"],
  "frac_coords": [[0.025, 0.025, 0.000], [0.718, 0.218, 0.500], [0.431, 0.431, 0.000], [0.326, 0.826, 0.500]],
  "dos_at_fermi_per_ev_fu": 4.15
}

***

Short version: (P) is the least stable of them.